This record from Alexandria via LeMat-Bulk describes an optimized crystal structure of Cs2MnCl6O. The functional is PBE+U.

abc: 7.145 7.145 11.234
angles: 90.00 90.00 90.00
Space group I4/mmm (No. 139)
Inequivalent atoms, fractional coordinates:
Cs 0.000 0.500 0.250
Mn 0.000 0.000 0.000
Cl 0.000 0.000 0.207
Cl 0.234 0.234 0.000
O 0.000 0.000 0.500

Computed properties:
D(E_F) (states/eV per cell): 0.0
Calculated total energy (eV per formula unit): -34.7